No. 1
A plane-wave DFT calculation with PBE-GGA was carried out for an optimized crystal structure of Ho2BiP.

The crystal system is trigonal.

It has space group R3m (No. 160, hexagonal axes), with a = 4.0052 Å, b = 4.0052 Å, c = 22.8390 Å, α = 90.00°, β = 90.00° and γ = 120.00°. The inequivalent atoms are Ho at (0.0000, 0.0000, 0.0000), Ho at (0.0000, 0.0000, 0.1982), Bi at (0.0000, 0.0000, 0.4317) and P at (0.0000, 0.0000, 0.6005).

***

No. 2
A plane-wave DFT calculation with PBE-GGA was carried out for an optimized crystal structure of HoBiP.

The crystal system is orthorhombic.

It has space group Pmn2_1 (No. 31), with a = 3.892 Å, b = 5.847 Å, c = 7.442 Å, α = 90.00°, β = 90.00° and γ = 90.00°. The inequivalent atoms are Ho at (0.000, 0.118, 0.000), Bi at (0.000, 0.443, 0.638) and P at (0.000, 0.150, 0.362).

***

No. 3
A plane-wave DFT calculation with PBE-GGA was carried out for an optimized crystal structure of Ho2BiP.

The crystal system is trigonal.

It has space group R-3m (No. 166, hexagonal axes), with a = 4.1471 Å, b = 4.1471 Å, c = 21.2920 Å, α = 90.00°, β = 90.00° and γ = 120.00°. The inequivalent atoms are Ho at (0.0000, 0.0000, 0.2387), Bi at (0.0000, 0.0000, 0.0000) and P at (0.0000, 0.0000, 0.5000).

***

No. 4
A plane-wave DFT calculation with PBE-GGA was carried out for an optimized crystal structure of HoBi2P2Pt7.

The crystal system is tetragonal.

It has space group I4/mmm (No. 139), with a = 4.020 Å, b = 4.020 Å, c = 29.621 Å, α = 90.00°, β = 90.00° and γ = 90.00°. The inequivalent atoms are Ho at (0.000, 0.000, 0.000), Bi at (0.000, 0.000, 0.210), P at (0.000, 0.000, 0.384), Pt at (0.000, 0.000, 0.306), Pt at (0.000, 0.000, 0.500) and Pt at (0.000, 0.500, 0.073).

***

no.,energy of formation from the pure elements (eV per atom),volume (Å³/f.u.)
1,-1.109,106
2,-0.565,85
3,-1.184,106
4,-0.674,239